[1]
## Rb3CaZn2Cl9 (PBE)

Data for a relaxed Rb3CaZn2Cl9 crystal.

Lattice parameters (Å, degrees): 7.2553 7.2553 8.9457 90.00 90.00 120.00
Fractional coordinates of all 15 atoms:
Rb  0.3333  0.6667  0.6787
Rb  0.0000  0.0000  0.0000
Rb  0.6667  0.3333  0.3213
Ca  0.0000  0.0000  0.5000
Zn  0.3333  0.6667  0.1608
Zn  0.6667  0.3333  0.8392
Cl  0.8265  0.1735  0.6789
Cl  0.8265  0.6530  0.6789
Cl  0.3470  0.1735  0.6789
Cl  0.6530  0.8265  0.3211
Cl  0.1735  0.3470  0.3211
Cl  0.1735  0.8265  0.3211
Cl  0.5000  0.0000  0.0000
Cl  0.0000  0.5000  0.0000
Cl  0.5000  0.5000  0.0000

## Properties
As for the size of the total moment: 0.00 μB/f.u. Its raw formation energy is -162.91 kJ/mol of atoms. The total energy is -49.398 eV per formula unit.


[2]
## Ba2LaPb (PBE)

Data for a relaxed Ba2LaPb crystal.

Lattice parameters (Å, degrees): 8.2799 6.7405 3.9569 89.62 62.16 118.50
Fractional coordinates of all 4 atoms:
Pb  0.5000  0.5000  0.0000
Ba  0.0000  0.0000  0.0000
Ba  0.5000  0.0000  0.5000
La  0.0000  0.5000  0.5000

## Properties
The value obtained for the formation energy is -101 meV per atom. As for the size of the total moment: 0.00 μB/f.u. The total energy is -12.887 eV per formula unit.


[3]
## Pa2SiAu (PBE)

Data for a relaxed Pa2SiAu crystal.

Lattice parameters (Å, degrees): 3.7875 3.7875 6.1382 90.00 90.00 90.00
Each line ends with the local moment (μB).
Fractional coordinates of all 4 atoms:
Si  0.5000  0.5000  0.0000  -0.01
Pa  0.0000  0.0000  0.7770  0.61
Pa  0.0000  0.0000  0.2230  0.61
Au  0.5000  0.5000  0.5000  0.01

## Properties
The polymorph energy (0 for the lowest one) comes out at 0.0418 eV per atom. As for the size of the total moment: 1.32 μB/f.u. Its raw formation energy is -27.32 kJ/mol of atoms. The total energy is -28.825 eV per formula unit.


[4]
## Ac2HgSb3Ir4 (PBE)

Data for a relaxed Ac2HgSb3Ir4 crystal.

Lattice parameters (Å, degrees): 4.5509 4.5509 11.0592 90.00 90.00 90.00
Each line ends with the local moment (μB).
Fractional coordinates of all 10 atoms:
Ac  0.5000  0.0000  0.2532  0.00
Ac  0.0000  0.5000  0.7468  0.00
Hg  0.5000  0.5000  0.5000  0.00
Sb  0.0000  0.0000  0.5000  0.00
Sb  0.5000  0.0000  0.8717  0.00
Sb  0.0000  0.5000  0.1283  0.00
Ir  0.5000  0.5000  0.0000  0.15
Ir  0.0000  0.0000  0.0000  0.15
Ir  0.5000  0.0000  0.6389  0.00
Ir  0.0000  0.5000  0.3611  0.00

## Properties
As for the size of the total moment: 0.30 μB/f.u. Its raw formation energy is -49.59 kJ/mol of atoms. The total energy is -61.469 eV per formula unit.


[5]
## Ce3As4Pd2Ru2 (PBE)

Data for a relaxed Ce3As4Pd2Ru2 crystal.

Lattice parameters (Å, degrees): 4.2462 4.2462 14.4540 90.00 90.00 120.00
Each line ends with the local moment (μB).
Fractional coordinates of all 11 atoms:
Ce  0.0000  0.0000  0.7203  0.38
Ce  0.0000  0.0000  0.0000  0.60
Ce  0.0000  0.0000  0.2797  0.38
As  0.6667  0.3333  0.1290  -0.02
As  0.3333  0.6667  0.8710  -0.02
As  0.6667  0.3333  0.6029  0.00
As  0.3333  0.6667  0.3971  0.00
Pd  0.6667  0.3333  0.8497  -0.03
Pd  0.3333  0.6667  0.1503  -0.03
Ru  0.6667  0.3333  0.4334  -0.05
Ru  0.3333  0.6667  0.5666  -0.05

## Properties
The value obtained for the formation energy is -879 meV per atom. As for the size of the total moment: 1.28 μB/f.u. The total energy is -75.004 eV per formula unit.


[6]
## PPtCl2 (PBE)

Data for a relaxed PPtCl2 crystal.

Lattice parameters (Å, degrees): 3.0108 3.0108 7.7022 90.00 90.00 90.00
Fractional coordinates of all 4 atoms:
Cl  0.0000  0.0000  0.0036
Cl  0.0000  0.0000  0.4964
P  0.5000  0.5000  0.2500
Pt  0.5000  0.5000  0.7500

## Properties
The polymorph energy (0 for the lowest one) comes out at 1.4803 eV per atom. As for the size of the total moment: 0.00 μB/f.u. Its raw formation energy is 87.29 kJ/mol of atoms. The total energy is -11.525 eV per formula unit.


[7]
## Tb5HoSc6 (PBE)

Data for a relaxed Tb5HoSc6 crystal.

Lattice parameters (Å, degrees): 11.1244 5.9350 5.9318 59.98 84.91 79.79
Fractional coordinates of all 12 atoms:
Tb  0.5000  0.1667  0.6666
Tb  0.0000  0.3333  0.3333
Tb  0.5000  0.5000  0.0000
Tb  0.0000  0.6667  0.6667
Tb  0.5000  0.8333  0.3334
Ho  0.0000  0.0000  0.0000
Sc  0.7501  0.0831  0.3333
Sc  0.2499  0.5836  0.3333
Sc  0.2499  0.2501  0.0000
Sc  0.7501  0.7499  0.0000
Sc  0.7501  0.4164  0.6667
Sc  0.2499  0.9169  0.6667

## Properties
The value obtained for the formation energy is 56 meV per atom. As for the size of the total moment: 0.00 μB/f.u. The total energy is -65.048 eV per formula unit.


[8]
## CaSnGe2 (PBE)

Data for a relaxed CaSnGe2 crystal.

Lattice parameters (Å, degrees): 3.8872 3.8872 8.1723 76.24 76.24 60.00
Fractional coordinates of all 4 atoms:
Ge  0.2598  0.2598  0.2205
Ge  0.7402  0.7402  0.7795
Ca  0.5000  0.5000  0.5000
Sn  0.0000  0.0000  0.0000

## Properties
The value obtained for the formation energy is -55 meV per atom. As for the size of the total moment: 0.00 μB/f.u. The total energy is -15.458 eV per formula unit.


[9]
## PmSmIr2 (PBE)

Data for a relaxed PmSmIr2 crystal.

Lattice parameters (Å, degrees): 4.0551 4.2117 5.7683 90.00 110.57 90.00
Fractional coordinates of all 4 atoms:
Pm  0.4365  0.5000  0.4120
Sm  0.7284  0.0000  0.9957
Ir  0.1596  0.5000  0.8580
Ir  0.0066  0.0000  0.5523

## Properties
The value obtained for the formation energy is -662 meV per atom. The polymorph energy (0 for the lowest one) comes out at 0.0000 eV per atom. As for the size of the total moment: 0.00 μB/f.u. The total energy is -29.839 eV per formula unit.


[10]
## TlH2 (PBE)

Data for a relaxed TlH2 crystal.

Lattice parameters (Å, degrees): 3.3952 3.3952 9.7949 90.00 90.00 120.00
Fractional coordinates of all 6 atoms:
Tl  0.6667  0.3333  0.2500
Tl  0.3333  0.6667  0.7500
H  0.6667  0.3333  0.4223
H  0.3333  0.6667  0.9223
H  0.3333  0.6667  0.5777
H  0.6667  0.3333  0.0777

## Properties
As for the size of the total moment: 0.00 μB/f.u. The total energy is -7.185 eV per formula unit.


[11]
## BaCuS3 (PBE)

Data for a relaxed BaCuS3 crystal.

Lattice parameters (Å, degrees): 4.7203 4.7203 4.7203 90.00 90.00 90.00
Fractional coordinates of all 5 atoms:
S  0.0000  0.5000  0.0000
S  0.0000  0.0000  0.5000
S  0.5000  0.0000  0.0000
Ba  0.5000  0.5000  0.5000
Cu  0.0000  0.0000  0.0000

## Properties
The polymorph energy (0 for the lowest one) comes out at 0.2141 eV per atom. As for the size of the total moment: 0.00 μB/f.u. Its raw formation energy is -65.23 kJ/mol of atoms. The total energy is -21.782 eV per formula unit.


[12]
## BaMn (PBE)

Data for a relaxed BaMn crystal.

Lattice parameters (Å, degrees): 7.4239 7.4239 7.4239 90.00 90.00 90.00
Each line ends with the local moment (μB).
Fractional coordinates of all 8 atoms:
Ba  0.0000  0.0000  0.0000  -0.15
Ba  0.0000  0.5000  0.5000  -0.15
Ba  0.5000  0.0000  0.5000  -0.15
Ba  0.5000  0.5000  0.0000  -0.15
Mn  0.2500  0.2500  0.2500  3.87
Mn  0.2500  0.7500  0.7500  3.87
Mn  0.7500  0.2500  0.7500  3.87
Mn  0.7500  0.7500  0.2500  3.87

## Properties
The value obtained for the formation energy is 1415 meV per atom. As for the size of the total moment: 3.35 μB/f.u. The total energy is -8.261 eV per formula unit.


> Number 5 is which compound?

Ce3As4Pd2Ru2